(1)
The following is a DFT calculation (PBE-GGA) of a geometry-optimized Er2CoSi2MoC structure.

Output
The calculation puts the total magnetization at 0.000 μB/atom. The calculation puts the uncorrected energy at -7.34 eV per atom.

Lattice parameters (Å, degrees): 5.7701 5.7701 6.9108 125.47 125.47 38.87
Last column: nearest neighbours and their distance in Å.
Fractional coordinates of all 7 atoms:
Er  0.0000  0.0000  0.0000  2 C 2.55
Er  0.1343  0.1343  0.5929  2 C 2.58
Co  0.3625  0.3625  0.2050  1 C 1.82
Si  0.4371  0.4371  0.6180  1 Co 2.44, 2 Mo 2.46, 1 Si 2.56
Si  0.7263  0.7263  0.9916  2 Co 2.32, 1 Mo 2.48, 1 Si 2.56
Mo  0.7657  0.7657  0.3856  1 C 1.93
C  0.5576  0.5576  0.2890  1 Co 1.82, 1 Mo 1.93



(2)
The following is a DFT calculation (PBE-GGA) of a geometry-optimized Cu7Ag3 structure.

Output
The value obtained for the formation energy is 95 meV per atom. The value obtained for the distance to the lowest polymorph of the same formula is 48.4 kJ/mol of formula units. The calculation puts the uncorrected energy at -3.35 eV per atom.

Lattice parameters (Å, degrees): 10.9491 10.9491 4.6761 94.30 94.30 14.31
Last column: nearest neighbours and their distance in Å.
Fractional coordinates of all 10 atoms:
Cu  0.0000  0.0000  0.0000  9 Cu 2.52-2.73, 3 Ag 2.73-2.80
Cu  0.2182  0.2182  0.4048  5 Cu 2.60-2.73, 6 Ag 2.70-2.87
Cu  0.3172  0.3172  0.1117  10 Cu 2.52-2.77, 2 Ag 2.69
Cu  0.4074  0.4074  0.8002  12 Cu 2.53-2.73
Cu  0.5000  0.5000  0.4978  9 Cu 2.52-2.73, 3 Ag 2.73-2.79
Cu  0.8149  0.8149  0.5952  11 Cu 2.54-2.77, 1 Ag 2.66
Cu  0.9088  0.9088  0.3029  12 Cu 2.52-2.73
Ag  0.1032  0.1032  0.7000  8 Ag 2.70-2.92, 4 Cu 2.73-2.94
Ag  0.6071  0.6071  0.2043  7 Ag 2.70-2.86, 5 Cu 2.79-2.87
Ag  0.7168  0.7168  0.9035  7 Cu 2.66-2.71, 5 Ag 2.73-2.92



(3)
The following is a DFT calculation (PBE-GGA) of a geometry-optimized PrDyIn5 structure.

Output
The calculation puts the total magnetization at 0.001 μB/atom. The calculation puts the uncorrected energy at -3.63 eV per atom.

Lattice parameters (Å, degrees): 4.7527 4.7527 8.6040 90.00 90.00 90.00
Last column: nearest neighbours and their distance in Å.
Fractional coordinates of all 7 atoms:
Pr  0.0000  0.0000  0.0000  12 In 3.32-3.36
Dy  0.0000  0.0000  0.5000  8 In 3.09
In  0.0000  0.5000  0.2696  2 Dy 3.09, 6 In 3.32-3.36, 2 Pr 3.32
In  0.0000  0.5000  0.7304  2 Dy 3.09, 6 In 3.32-3.36, 2 Pr 3.32
In  0.5000  0.0000  0.2696  2 Dy 3.09, 6 In 3.32-3.36, 2 Pr 3.32
In  0.5000  0.0000  0.7304  2 Dy 3.09, 6 In 3.32-3.36, 2 Pr 3.32
In  0.5000  0.5000  0.0000  8 In 3.32, 4 Pr 3.36



(4)
The following is a DFT calculation (PBE-GGA) of a geometry-optimized PrHoSO2 structure.

Output
The calculation puts the total magnetization at 0.000 μB/atom. The calculation puts the uncorrected energy at -7.79 eV per atom.

Lattice parameters (Å, degrees): 3.8950 3.8950 6.7110 90.00 90.00 120.00
Last column: nearest neighbours and their distance in Å.
Fractional coordinates of all 5 atoms:
Pr  0.0000  0.0000  0.0000  4 O 2.35-2.43
Ho  0.6667  0.3333  0.4387  4 O 2.25-2.31
S  0.3333  0.6667  0.7120  3 Ho 2.90, 3 Pr 2.97
O  0.0000  0.0000  0.3617  3 Ho 2.31, 1 Pr 2.43
O  0.6667  0.3333  0.1034  1 Ho 2.25, 3 Pr 2.35